w | Below is a relaxed CoAs2CBr crystal, with properties calculated at the PBE level.

abc: 4.279 4.279 4.618
angles: 90.00 90.00 90.00
Fractional coordinates of all 5 atoms:
Co (0.000, 0.000, 0.000)
As (0.000, 0.500, 0.500)
As (0.500, 0.000, 0.500)
C (0.500, 0.500, 0.500)
Br (0.500, 0.500, 0.000)

Computed properties:
As for the space-group type: P4/mmm.



x | Below is a relaxed CoAs2CBr crystal, with properties calculated at the PBE level.

abc: 4.457 4.457 5.128
angles: 90.00 90.00 90.00
Fractional coordinates of all 5 atoms:
Co (0.000, 0.000, 0.000)
As (0.000, 0.500, 0.000)
As (0.500, 0.000, 0.000)
C (0.500, 0.500, 0.500)
Br (0.000, 0.000, 0.500)

Computed properties:
As for the space-group type: P4/mmm.



We find w to be the most stable, with the next structure 16.2 kJ/mol of atoms higher.



w | Below is a relaxed CrAsCBr2 crystal, with properties calculated at the PBE level.

abc: 4.776 4.776 4.370
angles: 90.00 90.00 90.00
Fractional coordinates of all 5 atoms:
Cr (0.000, 0.000, 0.000)
As (0.500, 0.500, 0.000)
C (0.500, 0.500, 0.500)
Br (0.000, 0.500, 0.500)
Br (0.500, 0.000, 0.500)

Computed properties:
As for the space-group type: P4/mmm.



x | Below is a relaxed CrAsCBr2 crystal, with properties calculated at the PBE level.

abc: 4.931 4.931 4.695
angles: 90.00 90.00 90.00
Fractional coordinates of all 5 atoms:
Cr (0.000, 0.000, 0.000)
As (0.000, 0.000, 0.500)
C (0.500, 0.500, 0.500)
Br (0.000, 0.500, 0.000)
Br (0.500, 0.000, 0.000)

Computed properties:
As for the space-group type: P4/mmm.



We find w to be the most stable, with the next structure 32.1 kJ/mol of atoms higher.



w | Below is a relaxed CrAs2CBr crystal, with properties calculated at the PBE level.

abc: 4.598 4.598 5.205
angles: 90.00 90.00 90.00
Fractional coordinates of all 5 atoms:
Cr (0.000, 0.000, 0.000)
As (0.000, 0.500, 0.000)
As (0.500, 0.000, 0.000)
C (0.500, 0.500, 0.500)
Br (0.000, 0.000, 0.500)

Computed properties:
As for the space-group type: P4/mmm.



x | Below is a relaxed CrAs2CBr crystal, with properties calculated at the PBE level.

abc: 4.337 4.337 4.750
angles: 90.00 90.00 90.00
Fractional coordinates of all 5 atoms:
Cr (0.000, 0.000, 0.000)
As (0.000, 0.500, 0.500)
As (0.500, 0.000, 0.500)
C (0.500, 0.500, 0.500)
Br (0.500, 0.500, 0.000)

Computed properties:
As for the space-group type: P4/mmm.



We find x to be the most stable, with the next structure 32.9 kJ/mol of atoms higher.



w | Below is a relaxed CsAs2CBr crystal, with properties calculated at the PBE level.

abc: 6.145 6.145 6.435
angles: 90.00 90.00 90.00
Fractional coordinates of all 5 atoms:
Cs (0.000, 0.000, 0.000)
As (0.000, 0.500, 0.000)
As (0.500, 0.000, 0.000)
C (0.500, 0.500, 0.500)
Br (0.000, 0.000, 0.500)

Computed properties:
As for the space-group type: P4/mmm.



x | Below is a relaxed CsAs2CBr crystal, with properties calculated at the PBE level.

abc: 4.435 4.435 9.329
angles: 90.00 90.00 90.00
Fractional coordinates of all 5 atoms:
Cs (0.000, 0.000, 0.000)
As (0.000, 0.500, 0.500)
As (0.500, 0.000, 0.500)
C (0.500, 0.500, 0.500)
Br (0.500, 0.500, 0.000)

Computed properties:
As for the space-group type: P4/mmm.



We find x to be the most stable, with the next structure 178.8 kJ/mol of atoms higher.



w | Below is a relaxed CuAs2CBr crystal, with properties calculated at the PBE level.

abc: 4.687 4.687 4.961
angles: 90.00 90.00 90.00
Fractional coordinates of all 5 atoms:
Cu (0.000, 0.000, 0.000)
As (0.000, 0.500, 0.000)
As (0.500, 0.000, 0.000)
C (0.500, 0.500, 0.500)
Br (0.000, 0.000, 0.500)

Computed properties:
As for the space-group type: P4/mmm.



x | Below is a relaxed CuAs2CBr crystal, with properties calculated at the PBE level.

abc: 5.166 5.166 3.819
angles: 90.00 90.00 90.00
Fractional coordinates of all 5 atoms:
Cu (0.000, 0.000, 0.000)
As (0.000, 0.500, 0.500)
As (0.500, 0.000, 0.500)
C (0.500, 0.500, 0.000)
Br (0.500, 0.500, 0.500)

Computed properties:
As for the space-group type: P4/mmm.



y | Below is a relaxed CuAs2CBr crystal, with properties calculated at the PBE level.

abc: 4.263 4.263 5.047
angles: 90.00 90.00 90.00
Fractional coordinates of all 5 atoms:
Cu (0.000, 0.000, 0.000)
As (0.000, 0.500, 0.500)
As (0.500, 0.000, 0.500)
C (0.500, 0.500, 0.500)
Br (0.500, 0.500, 0.000)

Computed properties:
As for the space-group type: P4/mmm.



We find y to be the most stable, with the next structure 50.2 kJ/mol of atoms higher.



w | Below is a relaxed CuAsCBr2 crystal, with properties calculated at the PBE level.

abc: 5.002 5.002 4.709
angles: 90.00 90.00 90.00
Fractional coordinates of all 5 atoms:
Cu (0.000, 0.000, 0.000)
As (0.000, 0.000, 0.500)
C (0.500, 0.500, 0.500)
Br (0.000, 0.500, 0.000)
Br (0.500, 0.000, 0.000)

Computed properties:
As for the space-group type: P4/mmm.



x | Below is a relaxed CuAsCBr2 crystal, with properties calculated at the PBE level.

abc: 4.847 4.847 4.228
angles: 90.00 90.00 90.00
Fractional coordinates of all 5 atoms:
Cu (0.000, 0.000, 0.000)
As (0.500, 0.500, 0.000)
C (0.500, 0.500, 0.500)
Br (0.000, 0.500, 0.500)
Br (0.500, 0.000, 0.500)

Computed properties:
As for the space-group type: P4/mmm.



We find x to be the most stable, with the next structure 32.2 kJ/mol of atoms higher.